Entry i
Below is Tb5Pr2 after structural relaxation, with properties calculated at the PBE-GGA level.

Results
size of the total moment: 0.000 μB per atom
calculated density: 7.6 g/cm3
N(E_F): 48.36 states/eV/cell

Cell: 15.976 6.334 9.332 Å, 90.00 95.39 90.00°
Space group C2/c (No. 15)
Symmetry-distinct sites (fractional):
Tb  0.000  0.165  0.250 [4 per cell]
Tb  0.145  0.165  0.965 [8 per cell]
Tb  0.214  0.332  0.321 [8 per cell]
Pr  0.073  0.332  0.607 [8 per cell]

Entry ii
Below is Tb5Pr2 after structural relaxation, with properties calculated at the PBE-GGA level.

Results
size of the total moment: 0.000 μB per atom
calculated density: 7.6 g/cm3
N(E_F): 46.83 states/eV/cell

Cell: 5.7166 5.7166 24.8004 Å, 90.00 90.00 120.00°
Space group R-3m (No. 166, hexagonal axes)
Symmetry-distinct sites (fractional):
Tb  0.0000  0.0000  0.0000 [3 per cell]
Tb  0.0000  0.0000  0.2759 [6 per cell]
Tb  0.0000  0.0000  0.4149 [6 per cell]
Pr  0.0000  0.0000  0.1359 [6 per cell]

Energies, relative to the best one, in kJ/mol of atoms: entry i 0.0; entry ii 11.2.

Entry i
Below is Tb2Pr13 after structural relaxation, with properties calculated at the PBE-GGA level.

Results
size of the total moment: 0.000 μB per atom
calculated density: 6.5 g/cm3
N(E_F): 64.43 states/eV/cell

Cell: 7.2879 7.2879 35.7430 Å, 90.00 90.00 120.00°
Space group R-3m (No. 166, hexagonal axes)
Symmetry-distinct sites (fractional):
Tb  0.0000  0.0000  0.2061 [6 per cell]
Pr  0.0000  0.0000  0.0000 [3 per cell]
Pr  0.0027  0.5014  0.9548 [18 per cell]
Pr  0.0034  0.5017  0.7902 [18 per cell]

Entry ii
Below is Tb2Pr13 after structural relaxation, with properties calculated at the PBE-GGA level.

Results
size of the total moment: 0.000 μB per atom
calculated density: 6.7 g/cm3
N(E_F): 22.58 states/eV/cell

Cell: 6.856 9.253 9.257 Å, 66.58 82.43 82.34°
Space group P-1 (No. 2)
Symmetry-distinct sites (fractional):
Tb  0.099  0.268  0.431 [2 per cell]
Pr  0.000  0.500  0.000 [1 per cell]
Pr  0.101  0.936  0.766 [2 per cell]
Pr  0.194  0.694  0.208 [2 per cell]
Pr  0.298  0.129  0.972 [2 per cell]
Pr  0.304  0.463  0.638 [2 per cell]
Pr  0.397  0.898  0.405 [2 per cell]
Pr  0.499  0.668  0.834 [2 per cell]

Energies, relative to the best one, in kJ/mol of atoms: entry i 8.1; entry ii 0.0.